Computed, not measured: a relaxed structure of Pu2ReTc at the GGA-PBE level of DFT.

Results
The value obtained for the formation energy is 196.2 meV/atom. As for the symmetry: No. 123. For the calculated total energy, the calculation gives -50.69 eV/cell. The value obtained for the density of states at the Fermi level is 10.15 states/eV/cell.

Lattice parameters (Å, degrees): 3.3695 3.3695 6.7579 90.00 90.00 90.00
Each line ends with the local moment (μB).
Positions (direct):
1 Pu 0.0000 0.0000 0.7490  4.54
2 Pu 0.0000 0.0000 0.2510  4.54
3 Re 0.5000 0.5000 0.0000  -0.80
4 Tc 0.5000 0.5000 0.5000  -0.92